# 1
Compound: ThTiNi2
Source: the Alexandria database
Functional: PBE-GGA
Structure: optimized geometry

Cell: 4.2543 4.2543 14.1341 Å, 90.00 90.00 120.00°
Space group R-3m (No. 166, hexagonal axes)
Inequivalent atoms, fractional coordinates:
Th1 0.0000 0.0000 0.0000 x3
Ti1 0.0000 0.0000 0.5000 x3
Ni1 0.0000 0.0000 0.2028 x6

Computed properties:
calculated density: 8934 kg/m3
energy: -7.110 eV per atom
ΔE to the lowest computed polymorph: 0 meV/atom
N(E_F): 2.8 states/eV/f.u.
energy of formation: -0.391 eV per atom



# 2
Compound: ThTiNi2
Source: the Alexandria database
Functional: PBE-GGA
Structure: optimized geometry

Cell: 3.165 3.165 6.845 Å, 90.00 90.00 90.00°
Space group P4/mmm (No. 123)
Inequivalent atoms, fractional coordinates:
Th1 0.000 0.000 0.000 x1
Ti1 0.000 0.000 0.500 x1
Ni1 0.500 0.500 0.311 x2

Computed properties:
calculated density: 9622 kg/m3
energy: -7.004 eV per atom
ΔE to the lowest computed polymorph: 106 meV/atom
N(E_F): 4.9 states/eV/f.u.
energy of formation: -0.285 eV per atom



# 3
Compound: ThTiNi4
Source: the Alexandria database
Functional: PBE-GGA
Structure: optimized geometry

Cell: 7.058 7.058 7.058 Å, 90.00 90.00 90.00°
Space group F-43m (No. 216)
Inequivalent atoms, fractional coordinates:
Th1 0.000 0.000 0.000 x4
Ti1 0.250 0.250 0.250 x4
Ni1 0.124 0.124 0.624 x16

Computed properties:
calculated density: 9722 kg/m3
energy: -6.708 eV per atom
N(E_F): 8.3 states/eV/f.u.
energy of formation: -0.301 eV per atom



# 4
Compound: ThTiNi2
Source: the Alexandria database
Functional: PBE-GGA
Structure: optimized geometry

Cell: 4.2656 4.2656 9.3678 Å, 90.00 90.00 120.00°
Space group P6_3/mmc (No. 194)
Inequivalent atoms, fractional coordinates:
Th1 0.3333 0.6667 0.2500 x2
Ti1 0.0000 0.0000 0.0000 x2
Ni1 0.3333 0.6667 0.5551 x4

Computed properties:
calculated density: 8938 kg/m3
energy: -7.099 eV per atom
ΔE to the lowest computed polymorph: 11 meV/atom
N(E_F): 3.5 states/eV/f.u.
energy of formation: -0.380 eV per atom



# 5
Compound: Th2Ti2Ni15
Source: the Alexandria database
Functional: PBE-GGA
Structure: optimized geometry

Cell: 8.3719 8.3719 12.4873 Å, 90.00 90.00 120.00°
Space group R-3m (No. 166, hexagonal axes)
Inequivalent atoms, fractional coordinates:
Th1 0.0000 0.0000 0.1520 x6
Ti1 0.0000 0.0000 0.3998 x6
Ni1 0.0000 0.2990 0.5000 x18
Ni2 0.0000 0.5000 0.0000 x9
Ni3 0.0014 0.5007 0.3435 x18

Computed properties:
calculated density: 9466 kg/m3
energy: -6.535 eV per atom
N(E_F): 24.5 states/eV/f.u.
energy of formation: -0.358 eV per atom



# 6
Compound: ThTlNi2
Source: the Alexandria database
Functional: PBE-GGA
Structure: optimized geometry

Cell: 4.5806 4.5806 12.9171 Å, 90.00 90.00 120.00°
Space group R-3m (No. 166, hexagonal axes)
Inequivalent atoms, fractional coordinates:
Th1 0.0000 0.0000 0.0000 x3
Tl1 0.0000 0.0000 0.5000 x3
Ni1 0.0000 0.0000 0.2166 x6

Computed properties:
calculated density: 11754 kg/m3
energy: -5.552 eV per atom
N(E_F): 3.4 states/eV/f.u.
energy of formation: -0.215 eV per atom



# 7
Compound: ThTl2Ni
Source: the Alexandria database
Functional: PBE-GGA
Structure: optimized geometry

Cell: 4.469 7.696 5.838 Å, 90.00 112.20 90.00°
Space group P2_1/m (No. 11)
Inequivalent atoms, fractional coordinates:
Th1 0.070 0.250 0.140 x2
Tl1 0.359 0.048 0.717 x4
Ni1 0.207 0.750 0.417 x2

Computed properties:
calculated density: 12496 kg/m3
energy: -4.559 eV per atom
N(E_F): 2.2 states/eV/f.u.
energy of formation: -0.076 eV per atom



# 8
Compound: Th2TlNi
Source: the Alexandria database
Functional: PBE-GGA
Structure: optimized geometry

Cell: 3.400 3.400 8.724 Å, 90.00 90.00 90.00°
Space group P4/mmm (No. 123)
Inequivalent atoms, fractional coordinates:
Th1 0.000 0.000 0.206 x2
Tl1 0.500 0.500 0.500 x1
Ni1 0.500 0.500 0.000 x1

Computed properties:
calculated density: 11973 kg/m3
energy: -5.959 eV per atom
ΔE to the lowest computed polymorph: 0 meV/atom
N(E_F): 4.3 states/eV/f.u.
energy of formation: -0.213 eV per atom



# 9
Compound: Th4TlNi
Source: the Alexandria database
Functional: PBE-GGA
Structure: optimized geometry

Cell: 7.516 7.516 5.925 Å, 90.00 90.00 90.00°
Space group P4/mcc (No. 124)
Inequivalent atoms, fractional coordinates:
Th1 0.141 0.323 0.000 x8
Tl1 0.500 0.500 0.250 x2
Ni1 0.000 0.000 0.250 x2

Computed properties:
calculated density: 11821 kg/m3
energy: -6.446 eV per atom
N(E_F): 7.7 states/eV/f.u.
energy of formation: -0.142 eV per atom



# 10
Compound: Th6Tl2Ni
Source: the Alexandria database
Functional: PBE-GGA
Structure: optimized geometry

Cell: 6.335 8.269 11.998 Å, 90.00 119.95 90.00°
Space group P2_1/c (No. 14)
Inequivalent atoms, fractional coordinates:
Th1 0.079 0.187 0.460 x4
Th2 0.331 0.676 0.460 x4
Th3 0.373 0.030 0.247 x4
Tl1 0.141 0.111 0.749 x4
Ni1 0.500 0.000 0.500 x2

Computed properties:
calculated density: 11341 kg/m3
energy: -6.155 eV per atom
N(E_F): 12.3 states/eV/f.u.
energy of formation: -0.040 eV per atom



# 11
Compound: Th4Tl2Ni
Source: the Alexandria database
Functional: PBE-GGA
Structure: optimized geometry

Cell: 6.786 3.708 8.655 Å, 90.00 101.43 90.00°
Space group Pm (No. 6)
Inequivalent atoms, fractional coordinates:
Th1 0.000 0.000 0.000 x1
Th2 0.156 0.500 0.669 x1
Th3 0.597 0.500 0.655 x1
Th4 0.754 0.000 0.324 x1
Tl1 0.264 0.500 0.312 x1
Tl2 0.490 0.500 0.012 x1
Ni1 0.876 0.000 0.662 x1

Computed properties:
calculated density: 10855 kg/m3
energy: -5.672 eV per atom
N(E_F): 8.9 states/eV/f.u.
energy of formation: 0.070 eV per atom



# 12
Compound: Th3TlNi
Source: the Alexandria database
Functional: PBE-GGA
Structure: optimized geometry

Cell: 5.354 5.354 5.354 Å, 90.00 90.00 90.00°
Space group Pm-3m (No. 221)
Inequivalent atoms, fractional coordinates:
Th1 0.000 0.000 0.500 x3
Tl1 0.500 0.500 0.500 x1
Ni1 0.000 0.000 0.000 x1

Computed properties:
calculated density: 10376 kg/m3
energy: -6.099 eV per atom
ΔE to the lowest computed polymorph: 171 meV/atom
N(E_F): 5.9 states/eV/f.u.
energy of formation: -0.018 eV per atom



# 13
Compound: Th2TlNi
Source: the Alexandria database
Functional: PBE-GGA
Structure: optimized geometry

Cell: 6.753 3.905 8.818 Å, 90.00 104.57 90.00°
Space group C2/m (No. 12)
Inequivalent atoms, fractional coordinates:
Th1 0.234 0.000 0.196 x4
Tl1 0.000 0.000 0.500 x2
Ni1 0.000 0.500 0.000 x2

Computed properties:
calculated density: 10730 kg/m3
energy: -5.904 eV per atom
ΔE to the lowest computed polymorph: 56 meV/atom
N(E_F): 4.8 states/eV/f.u.
energy of formation: -0.157 eV per atom



# 14
Compound: Th2TlNi
Source: the Alexandria database
Functional: PBE-GGA
Structure: optimized geometry

Cell: 3.8236 3.8236 26.5257 Å, 90.00 90.00 120.00°
Space group R3m (No. 160, hexagonal axes)
Inequivalent atoms, fractional coordinates:
Th1 0.0000 0.0000 0.0000 x3
Th2 0.0000 0.0000 0.2037 x3
Tl1 0.0000 0.0000 0.4365 x3
Ni1 0.0000 0.0000 0.6034 x3

Computed properties:
calculated density: 10786 kg/m3
energy: -5.890 eV per atom
ΔE to the lowest computed polymorph: 69 meV/atom
N(E_F): 5.9 states/eV/f.u.
energy of formation: -0.143 eV per atom



# 15
Compound: Th3TlNi
Source: the Alexandria database
Functional: PBE-GGA
Structure: optimized geometry

Cell: 13.373 3.706 11.679 Å, 90.00 108.34 90.00°
Space group C2/m (No. 12)
Inequivalent atoms, fractional coordinates:
Th1 0.022 0.000 0.358 x4
Th2 0.146 0.500 0.886 x4
Th3 0.239 0.500 0.352 x4
Tl1 0.095 0.000 0.112 x4
Ni1 0.103 0.500 0.562 x4

Computed properties:
calculated density: 11598 kg/m3
energy: -6.270 eV per atom
ΔE to the lowest computed polymorph: 0 meV/atom
N(E_F): 5.5 states/eV/f.u.
energy of formation: -0.189 eV per atom



# 16
Compound: Th4Tl5Ni2
Source: the Alexandria database
Functional: PBE-GGA
Structure: optimized geometry

Cell: 8.197 3.702 9.712 Å, 90.00 94.54 90.00°
Space group P2/m (No. 10)
Inequivalent atoms, fractional coordinates:
Th1 0.188 0.000 0.337 x2
Th2 0.208 0.000 0.934 x2
Tl1 0.153 0.500 0.636 x2
Tl2 0.465 0.500 0.167 x2
Tl3 0.500 0.500 0.500 x1
Ni1 0.073 0.500 0.127 x2

Computed properties:
calculated density: 11686 kg/m3
energy: -5.067 eV per atom
N(E_F): 7.9 states/eV/f.u.
energy of formation: -0.242 eV per atom



# 17
Compound: TmTh2Ni2
Source: the Alexandria database
Functional: PBE-GGA
Structure: optimized geometry

Cell: 3.682 6.506 9.696 Å, 90.00 90.00 90.00°
Space group Immm (No. 71)
Inequivalent atoms, fractional coordinates:
Tm1 0.000 0.000 0.000 x2
Th1 0.000 0.500 0.192 x4
Ni1 0.000 0.191 0.500 x4

Computed properties:
calculated density: 10729 kg/m3
energy: -6.500 eV per atom
ΔE to the lowest computed polymorph: 38 meV/atom
N(E_F): 6.1 states/eV/f.u.
energy of formation: -0.325 eV per atom



# 18
Compound: Tm2ThNi6
Source: the Alexandria database
Functional: PBE-GGA
Structure: optimized geometry

Cell: 3.538 6.867 12.830 Å, 90.00 90.00 90.00°
Space group Immm (No. 71)
Inequivalent atoms, fractional coordinates:
Tm1 0.000 0.000 0.142 x4
Th1 0.000 0.500 0.000 x2
Ni1 0.000 0.184 0.327 x8
Ni2 0.000 0.321 0.500 x4

Computed properties:
calculated density: 9824 kg/m3
energy: -5.918 eV per atom
ΔE to the lowest computed polymorph: 172 meV/atom
N(E_F): 7.8 states/eV/f.u.
energy of formation: -0.246 eV per atom



# 19
Compound: Tm3ThNi8
Source: the Alexandria database
Functional: PBE-GGA
Structure: optimized geometry

Cell: 5.0785 5.0785 8.2871 Å, 90.00 90.00 120.00°
Space group P3m1 (No. 156)
Inequivalent atoms, fractional coordinates:
Tm1 0.0000 0.0000 0.0000 x1
Tm2 0.0000 0.0000 0.3680 x1
Tm3 0.3333 0.6667 0.8887 x1
Th1 0.3333 0.6667 0.5083 x1
Ni1 0.3332 0.1666 0.6938 x3
Ni2 0.5016 0.0033 0.1892 x3
Ni3 0.6667 0.3333 0.4395 x1
Ni4 0.6667 0.3333 0.9401 x1

Computed properties:
calculated density: 10840 kg/m3
energy: -6.036 eV per atom
N(E_F): 8.1 states/eV/f.u.
energy of formation: -0.446 eV per atom



# 20
Compound: TmTh2Ni2
Source: the Alexandria database
Functional: PBE-GGA
Structure: optimized geometry

Cell: 7.766 7.766 3.756 Å, 90.00 90.00 90.00°
Space group P4/mbm (No. 127)
Inequivalent atoms, fractional coordinates:
Tm1 0.000 0.000 0.000 x2
Th1 0.168 0.332 0.500 x4
Ni1 0.125 0.625 0.000 x4

Computed properties:
calculated density: 11000 kg/m3
energy: -6.538 eV per atom
ΔE to the lowest computed polymorph: 0 meV/atom
N(E_F): 5.3 states/eV/f.u.
energy of formation: -0.364 eV per atom